(1)
DFT (PBE) results for an optimized crystal structure of CaAcPr2Hg4.

The space group is R-3m (No. 166, hexagonal axes) and the conventional cell measures 5.4728, 5.4728 and 27.4128 Å, with angles of 90.00, 90.00 and 120.00 degrees. Symmetry generates all atoms from Ca at (0.0000, 0.0000, 0.0000), Ac at (0.0000, 0.0000, 0.5000), Pr at (0.0000, 0.0000, 0.2544), Hg at (0.0000, 0.0000, 0.1203) and Hg at (0.0000, 0.0000, 0.3733).

Its total magnetic moment is 0.0 Bohr magnetons per cell. For the density of states at the Fermi level, the calculation gives 0.77 states/eV/atom. As for the electronic total energy: -2.606 eV per atom. The value obtained for the calculated formation energy is -47.9 kJ/mol of atoms.


(2)
DFT (PBE) results for an optimized crystal structure of BPb2C.

The space group is Fm-3m (No. 225) and the conventional cell measures 6.640, 6.640 and 6.640 Å, with angles of 90.00, 90.00 and 90.00 degrees. Symmetry generates all atoms from B at (0.000, 0.000, 0.000), Pb at (0.250, 0.250, 0.250) and C at (0.000, 0.000, 0.500).

Its total magnetic moment is 0.0 Bohr magnetons per cell. For the density of states at the Fermi level, the calculation gives 0.64 states/eV/atom. The value obtained for the relative energy among the computed polymorphs is 642 meV per atom. As for the electronic total energy: -3.868 eV per atom. The value obtained for the calculated formation energy is 189.2 kJ/mol of atoms.


(3)
DFT (PBE) results for an optimized crystal structure of Nd6DyTm3.

The space group is Cmc2_1 (No. 36) and the conventional cell measures 10.913, 19.352 and 6.362 Å, with angles of 90.00, 90.00 and 90.00 degrees. Symmetry generates all atoms from Nd at (0.000, 0.034, 0.000), Nd at (0.000, 0.282, 0.767), Nd at (0.171, 0.457, 0.657), Nd at (0.227, 0.288, 0.463), Dy at (0.000, 0.193, 0.216), Tm at (0.000, 0.387, 0.195) and Tm at (0.167, 0.114, 0.583).

Its total magnetic moment is 0.0 Bohr magnetons per cell. For the density of states at the Fermi level, the calculation gives 1.41 states/eV/atom. The value obtained for the relative energy among the computed polymorphs is 15 meV per atom. As for the electronic total energy: -4.519 eV per atom. The value obtained for the calculated formation energy is 13.9 kJ/mol of atoms.


(4)
DFT (PBE) results for an optimized crystal structure of Tb2Sm2DyEr.

The space group is Pnnm (No. 58) and the conventional cell measures 6.961, 16.378 and 3.472 Å, with angles of 90.00, 90.00 and 90.00 degrees. Symmetry generates all atoms from Tb at (0.250, 0.154, 0.000), Sm at (0.250, 0.342, 0.500), Dy at (0.000, 0.000, 0.500) and Er at (0.000, 0.500, 0.000).

Its total magnetic moment is 0.0 Bohr magnetons per cell. For the density of states at the Fermi level, the calculation gives 1.62 states/eV/atom. As for the electronic total energy: -4.495 eV per atom. The value obtained for the calculated formation energy is 14.3 kJ/mol of atoms.


total magnetic moment of number 1 (CaAcPr2Hg4)?
0.0 Bohr magnetons per cell